VASP calculation (PBE-GGA) on a relaxed structure of LaDyHoMg.

extended XYZ file:
```
4
Lattice="-1.296 1.351 3.199 0.666 -3.255 1.644 8.225 2.775 2.160" Properties=species:S:1:pos:R:3 pbc="T T T"
La 0.592 0.200 0.155
Ho 2.585 0.026 3.183
Mg 4.690 1.582 1.232
Dy 6.183 1.241 4.128
```

## Properties
The calculation puts the polymorph energy (0 for the lowest one) at 0.000 eV/atom. The calculation puts the total energy at -15.772 eV per formula unit. The density of states at the Fermi level comes out at 5.986 states/eV/f.u. For the energy relative to the elements, the calculation gives -1.7 kJ/mol of atoms. For the calculated volume, the calculation gives 123 Å³/f.u. The value obtained for the magnetic moment is 0.00 μB/atom.


VASP calculation (PBE-GGA) on a relaxed structure of LaDyHoMg.

extended XYZ file:
```
4
Lattice="5.593 0.000 0.000 2.796 4.843 0.000 2.796 1.614 4.566" Properties=species:S:1:pos:R:3 pbc="T T T"
Dy 2.796 1.614 1.142
La 8.389 4.843 3.425
Mg 0.000 0.000 0.000
Ho 5.593 3.229 2.283
```

## Properties
The calculation puts the polymorph energy (0 for the lowest one) at 0.049 eV/atom. The calculation puts the total energy at -15.576 eV per formula unit. The density of states at the Fermi level comes out at 5.280 states/eV/f.u. For the energy relative to the elements, the calculation gives 3.0 kJ/mol of atoms. For the calculated volume, the calculation gives 124 Å³/f.u. The value obtained for the magnetic moment is 0.00 μB/atom.


VASP calculation (PBE-GGA) on a relaxed structure of La2Nd2Dy2Ho.

extended XYZ file:
```
7
Lattice="5.152 0.000 0.000 -2.576 5.731 0.277 0.000 -1.556 8.018" Properties=species:S:1:pos:R:3 pbc="T T T"
La 0.000 0.968 3.487
La 2.576 3.207 4.809
Dy 2.576 -0.311 5.783
Dy 0.000 4.485 2.512
Ho 0.000 0.000 0.000
Nd 0.000 1.931 7.054
Nd 2.576 2.244 1.241
```

## Properties
The calculation puts the total energy at -32.999 eV per formula unit. The density of states at the Fermi level comes out at 11.198 states/eV/f.u. For the energy relative to the elements, the calculation gives 2.4 kJ/mol of atoms. For the calculated volume, the calculation gives 239 Å³/f.u. The value obtained for the magnetic moment is 0.00 μB/atom.


VASP calculation (PBE-GGA) on a relaxed structure of La4NdDyHo2.

extended XYZ file:
```
8
Lattice="-4.933 -3.379 0.497 3.409 -4.805 1.155 3.084 -3.221 8.700" Properties=species:S:1:pos:R:3 pbc="T T T"
Nd 2.322 -7.313 9.525
La 0.703 -5.320 7.013
La 0.856 -6.084 3.338
La 1.620 -1.993 2.521
La -0.060 -9.411 7.831
Dy -1.687 -7.392 5.425
Ho 0.000 0.000 0.000
Ho 2.484 -8.105 5.753
```

## Properties
The calculation puts the total energy at -37.560 eV per formula unit. The density of states at the Fermi level comes out at 13.402 states/eV/f.u. For the energy relative to the elements, the calculation gives 8.1 kJ/mol of atoms. For the calculated volume, the calculation gives 278 Å³/f.u. The value obtained for the magnetic moment is 0.00 μB/atom.


VASP calculation (PBE-GGA) on a relaxed structure of LaNdDy2Ho5.

extended XYZ file:
```
18
Lattice="-2.939 -1.097 8.249 -4.979 -6.777 -2.675 9.692 -0.831 -1.378" Properties=species:S:1:pos:R:3 pbc="T T T"
Dy -5.664 -5.142 5.649
Dy -2.254 -2.732 -0.076
Dy -2.384 -1.458 4.768
Dy -5.534 -6.416 0.805
Nd 0.377 -5.772 -0.633
Nd 1.397 -2.932 4.829
Ho -0.377 -2.959 2.272
Ho -4.526 -7.424 4.043
Ho 6.299 -1.281 0.153
Ho -3.959 -3.937 2.787
Ho 4.083 -4.567 -1.952
Ho 0.000 0.000 0.000
Ho 2.150 -5.746 1.923
Ho -2.309 -4.137 6.147
Ho 4.366 -2.459 4.028
Ho -2.593 -6.245 0.167
La 2.866 -2.384 0.704
La -1.093 -6.321 3.491
```

## Properties
The calculation puts the total energy at -39.343 eV per formula unit. The density of states at the Fermi level comes out at 11.359 states/eV/f.u. For the energy relative to the elements, the calculation gives 26.2 kJ/mol of atoms. For the calculated volume, the calculation gives 295 Å³/f.u. The value obtained for the magnetic moment is 0.00 μB/atom.


VASP calculation (PBE-GGA) on a relaxed structure of LaNd3Dy2Ho6.

extended XYZ file:
```
12
Lattice="6.220 0.000 0.012 -3.108 5.387 0.012 -1.056 -1.828 11.643" Properties=species:S:1:pos:R:3 pbc="T T T"
Ho 3.098 1.763 8.762
Ho 2.078 -0.005 2.905
Ho -0.011 -0.019 8.748
Ho 2.067 3.579 2.918
Ho -1.043 1.797 2.905
Ho -0.022 3.565 8.762
Nd -2.078 3.574 5.833
Nd 1.028 1.780 5.833
Nd 4.134 -0.014 5.833
Dy 3.111 1.795 0.012
Dy 0.000 3.592 0.012
La 0.000 0.000 0.000
```

## Properties
The calculation puts the total energy at -55.684 eV per formula unit. The density of states at the Fermi level comes out at 14.806 states/eV/f.u. For the energy relative to the elements, the calculation gives 1.8 kJ/mol of atoms. For the calculated volume, the calculation gives 390 Å³/f.u. The value obtained for the magnetic moment is 0.00 μB/atom.


VASP calculation (PBE-GGA) on a relaxed structure of La5Nd2DyHo.

extended XYZ file:
```
18
Lattice="-7.484 -3.819 -2.312 0.120 -4.683 7.348 -0.684 10.393 1.468" Properties=species:S:1:pos:R:3 pbc="T T T"
La -0.968 4.434 5.090
La -7.079 -2.543 1.415
La -3.682 -4.251 2.518
La -3.345 -0.329 2.093
La -2.798 -2.422 5.917
La -5.249 4.314 0.587
La 0.000 0.000 0.000
La -4.702 2.220 4.412
La -1.515 6.528 1.265
La -6.532 -4.636 5.239
Nd -2.719 -5.550 5.574
Nd -0.872 -2.236 2.489
Nd -6.491 -6.266 2.547
Nd -4.645 -2.952 -0.538
Ho -2.183 3.071 1.993
Ho -5.865 -1.180 4.511
Dy -2.123 0.730 5.667
Dy -5.925 1.162 0.837
```

## Properties
The calculation puts the total energy at -40.964 eV per formula unit. The density of states at the Fermi level comes out at 16.645 states/eV/f.u. For the energy relative to the elements, the calculation gives 25.6 kJ/mol of atoms. For the calculated volume, the calculation gives 324 Å³/f.u. The value obtained for the magnetic moment is 0.00 μB/atom.


VASP calculation (PBE-GGA) on a relaxed structure of LaNdDy5Ho2.

extended XYZ file:
```
18
Lattice="8.875 0.000 0.000 0.000 8.875 0.000 -4.438 -4.438 7.566" Properties=species:S:1:pos:R:3 pbc="T T T"
La 4.438 4.438 3.783
La 0.000 0.000 3.783
Nd 0.000 4.438 3.783
Nd 4.438 0.000 3.783
Ho 1.021 3.417 0.000
Ho 5.458 1.021 0.000
Ho 3.417 7.854 0.000
Ho 7.854 5.458 0.000
Dy 2.646 -1.791 5.593
Dy 1.791 6.229 1.973
Dy 2.646 1.791 1.973
Dy 0.000 0.000 0.000
Dy 6.229 7.084 1.973
Dy -1.791 -2.646 5.593
Dy -2.646 1.791 5.593
Dy 7.084 2.646 1.973
Dy 1.791 2.646 5.593
Dy 4.438 4.438 0.000
```

## Properties
The calculation puts the total energy at -39.376 eV per formula unit. The density of states at the Fermi level comes out at 12.266 states/eV/f.u. For the energy relative to the elements, the calculation gives 26.6 kJ/mol of atoms. For the calculated volume, the calculation gives 298 Å³/f.u. The value obtained for the magnetic moment is 0.00 μB/atom.


VASP calculation (PBE-GGA) on a relaxed structure of La2NdDyHo5.

extended XYZ file:
```
18
Lattice="-4.970 -3.700 5.994 2.786 -7.771 -2.487 7.054 6.199 3.475" Properties=species:S:1:pos:R:3 pbc="T T T"
La 0.559 -8.261 0.095
La -2.744 -3.209 3.413
La 0.474 -3.403 -0.238
La -2.658 -8.068 3.746
Ho 0.000 0.000 0.000
Ho 6.289 -0.272 1.500
Ho 2.254 0.937 5.994
Ho -1.420 -5.000 5.482
Ho 2.615 -6.208 0.989
Ho 0.331 -8.618 3.807
Ho -1.092 -5.735 1.754
Ho 4.539 3.346 3.175
Ho 0.864 -2.590 2.664
Ho 4.005 -2.682 4.318
Nd 4.374 -3.653 1.371
Nd 0.496 -1.618 5.612
Dy 1.889 -5.504 4.368
Dy 2.981 0.232 2.615
```

## Properties
The calculation puts the total energy at -39.866 eV per formula unit. The density of states at the Fermi level comes out at 11.919 states/eV/f.u. For the energy relative to the elements, the calculation gives 24.1 kJ/mol of atoms. For the calculated volume, the calculation gives 295 Å³/f.u. The value obtained for the magnetic moment is 0.00 μB/atom.


VASP calculation (PBE-GGA) on a relaxed structure of LaNdDyHo3.

extended XYZ file:
```
12
Lattice="5.635 -0.807 -0.133 -4.215 10.437 1.772 -0.005 -1.164 6.884" Properties=species:S:1:pos:R:3 pbc="T T T"
Ho -0.806 3.920 2.464
Ho 2.220 4.547 6.059
Ho -2.941 9.133 3.336
Ho 4.355 -0.667 5.187
Ho 2.247 5.120 2.685
Ho -0.833 3.347 5.838
Dy -0.357 6.780 4.677
Dy 1.771 1.687 3.845
La 1.767 1.096 7.258
La -0.353 7.370 1.265
Nd 4.328 -0.108 1.827
Nd -2.914 8.574 6.696
```

## Properties
The calculation puts the total energy at -27.656 eV per formula unit. The density of states at the Fermi level comes out at 8.638 states/eV/f.u. For the energy relative to the elements, the calculation gives 6.0 kJ/mol of atoms. For the calculated volume, the calculation gives 196 Å³/f.u. The value obtained for the magnetic moment is 0.00 μB/atom.


Question: The highest calculated volume belongs to which entry?
Answer: LaNd3Dy2Ho6


Please write out number 6 again, unchanged.
VASP calculation (PBE-GGA) on a relaxed structure of LaNd3Dy2Ho6.

extended XYZ file:
```
12
Lattice="6.220 0.000 0.012 -3.108 5.387 0.012 -1.056 -1.828 11.643" Properties=species:S:1:pos:R:3 pbc="T T T"
Ho 3.098 1.763 8.762
Ho 2.078 -0.005 2.905
Ho -0.011 -0.019 8.748
Ho 2.067 3.579 2.918
Ho -1.043 1.797 2.905
Ho -0.022 3.565 8.762
Nd -2.078 3.574 5.833
Nd 1.028 1.780 5.833
Nd 4.134 -0.014 5.833
Dy 3.111 1.795 0.012
Dy 0.000 3.592 0.012
La 0.000 0.000 0.000
```

## Properties
The calculation puts the total energy at -55.684 eV per formula unit. The density of states at the Fermi level comes out at 14.806 states/eV/f.u. For the energy relative to the elements, the calculation gives 1.8 kJ/mol of atoms. For the calculated volume, the calculation gives 390 Å³/f.u. The value obtained for the magnetic moment is 0.00 μB/atom.